No. 1
A relaxed NdDy3Mg6 crystal. Source: Alexandria, functional GGA-PBE.

Structure (extended XYZ):
```
20
Lattice="-4.175 1.142 3.066 -5.729 -2.394 -6.910 1.817 -9.435 5.988" Properties=species:S:1:pos:R:3 pbc="T T T"
Mg -4.684 -8.965 3.842
Mg -2.698 -6.125 5.490
Mg -6.554 -8.773 1.225
Mg -4.575 -2.741 1.673
Mg -1.533 -1.915 0.919
Mg -1.575 -4.972 2.001
Mg -8.403 -2.317 -3.698
Mg 0.317 -8.371 5.842
Mg -5.389 -4.562 -3.345
Mg -3.512 -7.946 0.471
Mg -6.512 -5.715 0.144
Mg -3.402 -1.722 -1.697
Dy -5.339 -1.535 -4.405
Dy -4.652 -5.939 2.759
Dy -1.609 -8.084 3.114
Dy -3.435 -4.748 -0.615
Dy -2.747 -9.152 6.549
Dy -6.478 -2.603 -0.969
Nd -5.364 -7.692 -2.146
Nd -2.723 -2.995 4.290
```

## Properties
As for the symmetry: No. 11. As for the total DFT energy (no corrections): -2.88 eV/atom. As for the spin magnetization: 0.0001 μB/atom. As for the formation energy: -0.070 eV/atom.



No. 2
A relaxed Th4GeP2Se crystal. Source: Alexandria, functional GGA-PBE.

Structure (extended XYZ):
```
8
Lattice="-1.172 0.893 -3.927 -2.119 -6.933 -0.945 -6.966 -0.669 1.927" Properties=species:S:1:pos:R:3 pbc="T T T"
P -6.966 -0.669 1.927
P -4.069 0.112 -1.000
Th -3.948 -5.010 -2.201
Th -6.771 -5.817 0.698
Th -6.309 -1.698 -0.743
Th -3.485 -0.891 -3.642
Ge -4.542 -3.801 0.491
Se -1.646 -3.020 -2.436
```

## Properties
As for the symmetry: No. 10. As for the total DFT energy (no corrections): -7.47 eV/atom. As for the spin magnetization: 0.0000 μB/atom. The value obtained for the uncorrected formation energy is -11.14 eV/f.u.



No. 3
A relaxed Sm6ErTm12 crystal. Source: Alexandria, functional GGA-PBE.

Structure (extended XYZ):
```
19
Lattice="-1.998 -2.408 -8.044 -6.339 -4.087 4.195 -3.420 7.923 -0.126" Properties=species:S:1:pos:R:3 pbc="T T T"
Sm -7.063 3.567 -5.923
Sm -3.065 4.560 -0.462
Sm -8.692 -3.132 -3.513
Sm -9.485 2.631 0.904
Sm -4.694 -2.139 1.949
Sm -2.272 -1.203 -4.878
Tm -3.624 1.163 0.785
Tm -2.440 1.621 -2.554
Tm -4.764 1.145 -5.129
Tm -8.521 3.083 -2.599
Tm -6.628 -2.369 -0.878
Tm -5.129 3.797 -3.096
Tm -5.514 -1.938 -4.020
Tm -9.317 -0.193 -1.421
Tm -6.243 3.366 0.045
Tm -6.993 0.283 1.155
Tm -8.133 0.265 -4.759
Tm -3.236 -1.655 -1.375
Er 0.000 0.000 0.000
```

## Properties
The energy above the most stable polymorph in this dataset comes out at 95.9 meV per atom. As for the symmetry: No. 166. As for the total DFT energy (no corrections): -4.33 eV/atom. As for the spin magnetization: 0.0003 μB/atom. As for the formation energy: 0.221 eV/atom.



No. 4
A relaxed Dy2SeI crystal. Source: Alexandria, functional GGA-PBE.

Structure (extended XYZ):
```
4
Lattice="3.978 0.000 0.000 1.989 3.445 0.000 1.989 1.148 8.007" Properties=species:S:1:pos:R:3 pbc="T T T"
Dy 5.967 3.445 6.425
Dy 1.989 1.148 1.582
Se 0.000 0.000 0.000
I 3.978 2.297 4.004
```

## Properties
The energy above the most stable polymorph in this dataset comes out at 20.6 meV per atom. As for the symmetry: No. 166. As for the total DFT energy (no corrections): -4.74 eV/atom. As for the spin magnetization: 0.0000 μB/atom. The value obtained for the uncorrected formation energy is -4.70 eV/f.u.



No. 5
A relaxed LiTbLu2 crystal. Source: Alexandria, functional GGA-PBE.

Structure (extended XYZ):
```
4
Lattice="3.543 0.000 0.000 0.000 3.543 0.000 0.000 0.000 8.714" Properties=species:S:1:pos:R:3 pbc="T T T"
Lu 0.000 0.000 1.919
Lu 0.000 0.000 6.795
Tb 1.771 1.771 4.357
Li 1.771 1.771 0.000
```

## Properties
The energy above the most stable polymorph in this dataset comes out at 0.0 meV per atom. As for the symmetry: No. 123. As for the total DFT energy (no corrections): -3.82 eV/atom. As for the spin magnetization: 0.0000 μB/atom. As for the formation energy: 0.081 eV/atom.



No. 6
A relaxed Ca2Cu crystal. Source: Alexandria, functional GGA-PBE.

Structure (extended XYZ):
```
3
Lattice="-3.812 5.877 -0.260 -4.880 3.133 3.938 6.182 -3.258 -0.557" Properties=species:S:1:pos:R:3 pbc="T T T"
Cu 0.000 0.000 0.000
Ca -3.194 3.311 1.352
Ca -5.498 5.699 2.327
```

## Properties
As for the symmetry: No. 139. As for the total DFT energy (no corrections): -2.75 eV/atom. As for the spin magnetization: 0.0000 μB/atom. As for the formation energy: -0.049 eV/atom.



No. 7
A relaxed TaSiW3 crystal. Source: Alexandria, functional GGA-PBE.

Structure (extended XYZ):
```
5
Lattice="4.793 0.000 0.000 0.000 4.793 0.000 0.000 0.000 4.793" Properties=species:S:1:pos:R:3 pbc="T T T"
W 0.000 0.000 2.397
W 0.000 2.397 0.000
W 2.397 0.000 0.000
Si 2.397 2.397 2.397
Ta 0.000 0.000 0.000
```

## Properties
The energy above the most stable polymorph in this dataset comes out at 1419.0 meV per atom. As for the symmetry: No. 221. As for the total DFT energy (no corrections): -8.72 eV/atom. As for the spin magnetization: 0.0000 μB/atom. The value obtained for the uncorrected formation energy is 12.56 eV/f.u.



No. 8
A relaxed AcPaCl crystal. Source: Alexandria, functional GGA-PBE.

Structure (extended XYZ):
```
6
Lattice="7.124 -0.170 -1.104 1.325 7.002 -1.104 1.424 1.152 3.109" Properties=species:S:1:pos:R:3 pbc="T T T"
Ac 6.570 5.313 0.022
Ac 3.440 2.782 0.297
Pa 7.009 1.434 -0.835
Pa 2.869 6.554 -0.835
Cl 5.666 1.361 1.898
Cl 2.516 5.256 1.898
```

## Properties
As for the symmetry: No. 44. As for the total DFT energy (no corrections): -5.55 eV/atom. As for the spin magnetization: 0.0778 μB/atom. The value obtained for the uncorrected formation energy is -1.19 eV/f.u.



No. 9
A relaxed PmTaSi crystal. Source: Alexandria, functional GGA-PBE.

Structure (extended XYZ):
```
12
Lattice="6.871 0.000 0.000 0.000 6.386 0.332 0.000 -2.669 5.992" Properties=species:S:1:pos:R:3 pbc="T T T"
Ta 1.161 2.027 1.789
Ta 2.275 5.220 1.955
Ta 5.710 1.690 4.535
Ta 4.597 -1.503 4.369
Si 3.821 2.667 5.926
Si 0.385 4.242 0.564
Si 3.050 1.049 0.398
Si 6.486 -0.526 5.760
Pm 1.089 3.801 4.657
Pm 2.346 0.609 4.491
Pm 4.525 3.108 1.833
Pm 5.782 -0.085 1.667
```

## Properties
The energy above the most stable polymorph in this dataset comes out at 496.4 meV per atom. As for the symmetry: No. 14. As for the total DFT energy (no corrections): -7.40 eV/atom. As for the spin magnetization: 0.0000 μB/atom. The value obtained for the uncorrected formation energy is -0.17 eV/f.u.



No. 10
A relaxed Co2RuCl crystal. Source: Alexandria, functional GGA-PBE.

Structure (extended XYZ):
```
4
Lattice="0.008 -1.644 -3.658 1.312 -3.368 -1.737 -5.447 -3.161 0.861" Properties=species:S:1:pos:R:3 pbc="T T T"
Ru -2.396 -4.479 -2.394
Co -4.853 -3.257 0.371
Co -3.077 -6.425 -3.679
Cl -1.311 -1.258 -0.239
```

## Properties
The energy above the most stable polymorph in this dataset comes out at 113.1 meV per atom. As for the symmetry: No. 8. As for the total DFT energy (no corrections): -5.87 eV/atom. As for the spin magnetization: 1.2691 μB/atom. The value obtained for the uncorrected formation energy is 1.86 eV/f.u.



No. 11
A relaxed Hf3MgTl crystal. Source: Alexandria, functional GGA-PBE.

Structure (extended XYZ):
```
5
Lattice="-4.932 -0.387 -0.892 -0.458 -3.144 3.896 -0.858 3.903 3.049" Properties=species:S:1:pos:R:3 pbc="T T T"
Hf -2.466 -0.194 -0.446
Hf -0.429 1.952 1.524
Hf -0.229 -1.572 1.948
Tl -3.124 0.186 3.026
Mg 0.000 0.000 0.000
```

## Properties
The energy above the most stable polymorph in this dataset comes out at 0.0 meV per atom. As for the symmetry: No. 221. As for the total DFT energy (no corrections): -5.66 eV/atom. As for the spin magnetization: 0.0000 μB/atom. As for the formation energy: 1.104 eV/atom.



No. 12
A relaxed Sm8CdIn2 crystal. Source: Alexandria, functional GGA-PBE.

Structure (extended XYZ):
```
11
Lattice="-3.235 4.170 -0.361 -3.535 -3.213 -5.428 -3.158 -5.174 7.296" Properties=species:S:1:pos:R:3 pbc="T T T"
Sm -7.009 -1.639 5.126
Sm -6.479 -1.926 -2.939
Sm -2.920 -2.579 -3.619
Sm -4.095 0.067 -1.289
Sm -5.834 -4.284 2.796
Sm -3.449 -2.291 4.446
Sm -2.690 -1.987 1.152
Sm -7.239 -2.230 0.355
In -5.437 -0.652 2.443
In -4.491 -3.565 -0.936
Cd -1.617 2.085 -0.180
```

## Properties
The energy above the most stable polymorph in this dataset comes out at 0.0 meV per atom. As for the symmetry: No. 12. As for the total DFT energy (no corrections): -4.20 eV/atom. As for the spin magnetization: 0.0000 μB/atom. As for the formation energy: -0.191 eV/atom.